The following is a DFT calculation (PBE-GGA) of a relaxed structure of SrCrCu3.

Calculated values
Calculated total energy   -21.08 eV per formula unit
Energy relative to the elements   2.52 eV per formula unit

Geometry as extended XYZ:
```
5
Lattice="4.767 0.000 0.000 0.000 4.767 0.000 0.000 0.000 4.767" Properties=species:S:1:pos:R:3 pbc="T T T"
Sr 2.383 2.383 2.383
Cu 0.000 2.383 0.000
Cu 0.000 0.000 2.383
Cu 2.383 0.000 0.000
Cr 0.000 0.000 0.000
```

The following is a DFT calculation (PBE-GGA) of a relaxed structure of Sr2CrCu.

Calculated values
Calculated total energy   -15.48 eV per formula unit
Energy relative to the elements   1.60 eV per formula unit

Geometry as extended XYZ:
```
4
Lattice="-5.742 1.558 -2.872 -2.901 -4.253 -4.141 2.342 0.929 6.108" Properties=species:S:1:pos:R:3 pbc="T T T"
Sr -0.265 -0.083 -0.215
Sr -3.776 0.597 -0.066
Cu -2.801 -2.448 -1.063
Cr -3.782 -1.179 -3.069
```

The following is a DFT calculation (PBE-GGA) of a relaxed structure of Sr4CrCu.

Calculated values
Calculated total energy   -14.57 eV per formula unit
Energy relative to the elements   5.88 eV per formula unit

Geometry as extended XYZ:
```
6
Lattice="0.000 5.064 5.064 5.064 0.000 5.064 5.064 5.064 0.000" Properties=species:S:1:pos:R:3 pbc="T T T"
Sr 6.329 6.329 3.800
Sr 3.800 3.800 3.800
Sr 3.800 6.329 6.329
Sr 6.329 3.800 6.329
Cu 0.000 0.000 0.000
Cr 7.596 7.596 7.596
```

The following is a DFT calculation (PBE-GGA) of a relaxed structure of Sr2CrCu.

Calculated values
Calculated total energy   -15.88 eV per formula unit
Energy relative to the elements   1.20 eV per formula unit

Geometry as extended XYZ:
```
4
Lattice="4.529 0.000 0.000 0.000 4.651 -0.009 0.000 2.337 5.953" Properties=species:S:1:pos:R:3 pbc="T T T"
Sr 0.000 6.695 5.415
Cr 0.000 4.365 3.056
Cu 2.265 4.370 4.349
Sr 2.265 2.038 2.040
```

The following is a DFT calculation (PBE-GGA) of a relaxed structure of Sr2CrCu.

Calculated values
Calculated total energy   -15.43 eV per formula unit
Energy relative to the elements   1.65 eV per formula unit

Geometry as extended XYZ:
```
4
Lattice="-1.800 -0.790 -3.113 2.436 -2.660 -0.736 -4.979 -5.762 4.343" Properties=species:S:1:pos:R:3 pbc="T T T"
Sr -4.611 -5.335 4.021
Sr -1.273 -3.567 -0.536
Cu -3.052 -5.624 1.015
Cr -2.876 -3.328 2.508
```

The following is a DFT calculation (PBE-GGA) of a relaxed structure of SrCrCu2.

Calculated values
Calculated total energy   -18.45 eV per formula unit
Energy relative to the elements   1.04 eV per formula unit

Geometry as extended XYZ:
```
4
Lattice="-3.503 2.430 -0.617 -3.743 -1.848 -1.064 -3.683 -0.289 4.736" Properties=species:S:1:pos:R:3 pbc="T T T"
Cu -7.276 0.570 -1.555
Cr -8.407 0.139 3.176
Sr -5.455 0.152 1.471
Cu -2.503 0.160 -0.190
```

The following is a DFT calculation (PBE-GGA) of a relaxed structure of SrCrCu2.

Calculated values
Calculated total energy   -17.55 eV per formula unit
Energy relative to the elements   1.95 eV per formula unit

Geometry as extended XYZ:
```
4
Lattice="-0.370 3.665 -3.019 -0.267 -3.028 -3.644 -3.710 -3.113 -3.325" Properties=species:S:1:pos:R:3 pbc="T T T"
Sr -2.173 -1.238 -4.994
Cu 0.000 0.000 0.000
Cu -0.318 0.319 -3.331
Cr -1.855 -1.557 -1.663
```

The following is a DFT calculation (PBE-GGA) of a relaxed structure of Sr2CrCu.

Calculated values
Calculated total energy   -15.27 eV per formula unit
Energy relative to the elements   1.81 eV per formula unit

Geometry as extended XYZ:
```
4
Lattice="0.000 3.913 3.913 3.913 0.000 3.913 3.913 3.913 0.000" Properties=species:S:1:pos:R:3 pbc="T T T"
Cu 3.913 3.913 3.913
Sr 5.870 5.870 5.870
Cr 0.000 0.000 0.000
Sr 1.957 1.957 1.957
```

The following is a DFT calculation (PBE-GGA) of a relaxed structure of SrCrCu2.

Calculated values
Calculated total energy   -17.54 eV per formula unit
Energy relative to the elements   1.96 eV per formula unit

Geometry as extended XYZ:
```
4
Lattice="-5.460 -0.931 -1.064 -1.550 -5.388 -0.610 2.332 3.755 3.503" Properties=species:S:1:pos:R:3 pbc="T T T"
Cu -6.868 -6.191 -1.639
Cr -1.143 -2.198 1.080
Sr -3.594 -3.240 -0.858
Cu -3.589 -0.413 0.736
```

The following is a DFT calculation (PBE-GGA) of a relaxed structure of Sr2CrCu.

Calculated values
Calculated total energy   -14.61 eV per formula unit
Energy relative to the elements   2.47 eV per formula unit

Geometry as extended XYZ:
```
4
Lattice="5.356 0.000 0.000 2.678 4.639 0.000 2.678 1.546 4.373" Properties=species:S:1:pos:R:3 pbc="T T T"
Cr 5.356 3.092 2.187
Cu 8.034 4.639 3.280
Sr 2.678 1.546 1.093
Sr 0.000 0.000 0.000
```

The following is a DFT calculation (PBE-GGA) of a relaxed structure of SrCr3Cu.

Calculated values
Calculated total energy   -19.72 eV per formula unit
Energy relative to the elements   14.93 eV per formula unit

Geometry as extended XYZ:
```
5
Lattice="-1.352 4.126 -0.900 0.783 -0.684 -4.310 -4.150 -1.473 -0.520" Properties=species:S:1:pos:R:3 pbc="T T T"
Sr 0.000 0.000 0.000
Cu -2.359 0.985 -2.865
Cr 0.391 -0.342 -2.155
Cr -0.676 2.063 -0.450
Cr -2.075 -0.736 -0.260
```

The following is a DFT calculation (PBE-GGA) of a relaxed structure of Sr2CrCu.

Calculated values
Calculated total energy   -14.44 eV per formula unit
Energy relative to the elements   2.65 eV per formula unit

Geometry as extended XYZ:
```
8
Lattice="8.570 0.000 0.000 0.000 8.570 0.000 4.285 4.285 3.516" Properties=species:S:1:pos:R:3 pbc="T T T"
Sr 1.857 6.428 0.879
Sr 10.713 10.998 2.637
Cr 4.285 8.570 1.758
Cu 8.570 4.285 1.758
Sr 6.713 2.143 0.879
Cr 4.285 4.285 0.000
Sr 6.428 6.142 2.637
Cu 0.000 0.000 0.000
```

The following is a DFT calculation (PBE-GGA) of a relaxed structure of SrCrCu2.

Calculated values
Calculated total energy   -17.11 eV per formula unit
Energy relative to the elements   2.39 eV per formula unit

Geometry as extended XYZ:
```
4
Lattice="4.844 0.000 0.000 2.422 4.195 0.000 2.422 1.398 3.955" Properties=species:S:1:pos:R:3 pbc="T T T"
Cu 2.422 1.398 0.989
Cu 0.000 0.000 0.000
Cr 4.844 2.797 1.977
Sr 7.266 4.195 2.966
```

The following is a DFT calculation (PBE-GGA) of a relaxed structure of Sr2CrCu.

Calculated values
Calculated total energy   -15.37 eV per formula unit
Energy relative to the elements   1.71 eV per formula unit

Geometry as extended XYZ:
```
4
Lattice="-1.039 -1.198 -3.542 2.361 -3.045 0.337 -3.554 -7.263 3.499" Properties=species:S:1:pos:R:3 pbc="T T T"
Sr -3.455 -7.193 3.446
Sr -0.695 -5.223 1.970
Cr -0.818 -3.176 -0.812
Cu -1.414 -8.330 1.106
```

The following is a DFT calculation (PBE-GGA) of a relaxed structure of SrCrCu2.

Calculated values
Calculated total energy   -18.67 eV per formula unit
Energy relative to the elements   0.83 eV per formula unit

Geometry as extended XYZ:
```
4
Lattice="5.681 -1.262 -0.742 4.963 3.039 -0.742 4.963 0.828 3.016" Properties=species:S:1:pos:R:3 pbc="T T T"
Cr 3.902 0.651 0.383
Cu 14.688 2.451 1.441
Cu 8.724 1.456 0.856
Sr 11.706 1.953 1.149
```

The following is a DFT calculation (PBE-GGA) of a relaxed structure of SrCr3Cu.

Calculated values
Calculated total energy   -29.72 eV per formula unit
Energy relative to the elements   4.93 eV per formula unit

Geometry as extended XYZ:
```
5
Lattice="4.875 0.000 0.000 0.000 4.875 0.000 0.000 0.000 4.875" Properties=species:S:1:pos:R:3 pbc="T T T"
Cr 2.437 0.000 0.000
Cu 0.000 0.000 0.000
Sr 2.437 2.437 2.437
Cr 0.000 2.437 0.000
Cr 0.000 0.000 2.437
```

The following is a DFT calculation (PBE-GGA) of a relaxed structure of SrCrCu2.

Calculated values
Calculated total energy   -17.69 eV per formula unit
Energy relative to the elements   1.81 eV per formula unit

Geometry as extended XYZ:
```
8
Lattice="-0.387 3.166 -3.565 -2.427 -3.210 -2.587 -8.856 2.882 0.310" Properties=species:S:1:pos:R:3 pbc="T T T"
Sr -5.325 3.013 -3.166
Sr 0.000 0.000 0.000
Cu -2.662 1.507 -1.583
Cu -8.303 1.343 -2.721
Cu -8.498 2.925 -4.504
Cr -6.345 -0.175 -2.676
Cr -1.407 -0.022 -3.076
Cu -3.876 -0.099 -2.876
```

The following is a DFT calculation (PBE-GGA) of a relaxed structure of SrCrCu2.

Calculated values
Calculated total energy   -18.04 eV per formula unit
Energy relative to the elements   1.46 eV per formula unit

Geometry as extended XYZ:
```
4
Lattice="-2.317 2.871 1.662 -3.015 -2.177 -0.442 -0.637 -3.358 4.914" Properties=species:S:1:pos:R:3 pbc="T T T"
Cr -3.970 -3.156 4.842
Cu -1.235 -3.698 4.667
Sr -1.681 -2.505 1.983
Cu -1.544 0.568 1.791
```

The following is a DFT calculation (PBE-GGA) of a relaxed structure of SrCrCuW2.

Calculated values
Calculated total energy   -30.39 eV per formula unit
Energy relative to the elements   10.92 eV per formula unit

Geometry as extended XYZ:
```
5
Lattice="4.608 0.000 0.000 0.000 5.174 0.000 0.000 0.000 4.608" Properties=species:S:1:pos:R:3 pbc="T T T"
W 2.304 0.000 0.000
Sr 0.000 2.587 0.000
W 0.000 0.000 2.304
Cu 0.000 0.000 0.000
Cr 2.304 2.587 2.304
```

The following is a DFT calculation (PBE-GGA) of a relaxed structure of TaCr2Cu.

Calculated values
Calculated total energy   -33.93 eV per formula unit
Energy relative to the elements   1.26 eV per formula unit

Geometry as extended XYZ:
```
4
Lattice="-1.056 2.359 0.245 -1.864 -1.487 -1.029 -2.662 -1.992 7.700" Properties=species:S:1:pos:R:3 pbc="T T T"
Cr -1.294 -0.968 3.744
Ta -3.457 -1.058 5.383
Cu -2.126 -0.062 1.533
Cr -0.037 -0.028 0.107
```

The following is a DFT calculation (PBE-GGA) of a relaxed structure of TaCr2Cu.

Calculated values
Calculated total energy   -34.07 eV per formula unit
Energy relative to the elements   1.13 eV per formula unit

Geometry as extended XYZ:
```
4
Lattice="3.130 0.000 0.000 0.000 3.130 0.000 0.000 0.000 5.518" Properties=species:S:1:pos:R:3 pbc="T T T"
Cr 0.000 0.000 0.128
Cu 1.565 1.565 1.380
Ta 1.565 1.565 4.139
Cr 0.000 0.000 2.631
```

The following is a DFT calculation (PBE-GGA) of a relaxed structure of TaCr2Cu.

Calculated values
Calculated total energy   -34.29 eV per formula unit
Energy relative to the elements   0.90 eV per formula unit

Geometry as extended XYZ:
```
4
Lattice="3.905 0.000 0.000 0.000 2.642 0.027 0.000 1.527 5.281" Properties=species:S:1:pos:R:3 pbc="T T T"
Cu 0.000 1.973 2.574
Ta 1.952 3.220 4.009
Cr 0.000 0.169 0.175
Cr 1.952 0.891 1.205
```

The following is a DFT calculation (PBE-GGA) of a relaxed structure of TaCrCu.

Calculated values
Calculated total energy   -24.90 eV per formula unit
Energy relative to the elements   0.67 eV per formula unit

Geometry as extended XYZ:
```
3
Lattice="4.811 0.005 -0.009 2.679 3.996 0.009 -3.740 -2.009 2.262" Properties=species:S:1:pos:R:3 pbc="T T T"
Cr 0.008 0.004 0.000
Cu 4.964 2.651 0.000
Ta 2.518 1.345 0.000
```

The following is a DFT calculation (PBE-GGA) of a relaxed structure of TaCrCu.

Calculated values
Calculated total energy   -24.63 eV per formula unit
Energy relative to the elements   0.94 eV per formula unit

Geometry as extended XYZ:
```
3
Lattice="6.356 -0.008 0.000 5.259 3.570 0.000 -5.808 -1.781 1.871" Properties=species:S:1:pos:R:3 pbc="T T T"
Cr 11.492 3.524 0.000
Cu 3.963 1.215 0.000
Ta 7.777 2.385 0.000
```

The following is a DFT calculation (PBE-GGA) of a relaxed structure of TaCr2Cu.

Calculated values
Calculated total energy   -33.96 eV per formula unit
Energy relative to the elements   1.24 eV per formula unit

Geometry as extended XYZ:
```
4
Lattice="4.885 -0.003 -0.005 2.091 4.415 0.005 -3.109 -2.805 2.516" Properties=species:S:1:pos:R:3 pbc="T T T"
Cr 3.466 2.192 0.000
Cu 2.632 -0.301 1.255
Ta 1.235 1.908 1.261
Cr 0.022 0.014 0.000
```

The following is a DFT calculation (PBE-GGA) of a relaxed structure of TaCr2Cu.

Calculated values
Calculated total energy   -34.32 eV per formula unit
Energy relative to the elements   0.88 eV per formula unit

Geometry as extended XYZ:
```
4
Lattice="4.855 -0.003 -0.001 2.000 4.424 0.001 -3.016 -2.849 2.522" Properties=species:S:1:pos:R:3 pbc="T T T"
Cr 6.724 4.336 0.000
Ta 1.140 1.850 1.261
Cu 3.494 2.253 0.000
Cr 2.765 -0.237 1.261
```

The following is a DFT calculation (PBE-GGA) of a relaxed structure of TaCr3Cu.

Calculated values
Calculated total energy   -34.81 eV per formula unit
Energy relative to the elements   10.01 eV per formula unit

Geometry as extended XYZ:
```
5
Lattice="-4.433 -0.203 0.687 0.260 -4.469 0.358 0.668 0.393 4.423" Properties=species:S:1:pos:R:3 pbc="T T T"
Cr 0.334 0.197 2.212
Cu -1.753 -2.139 2.734
Cr -2.217 -0.101 0.344
Ta 0.000 0.000 0.000
Cr 0.130 -2.234 0.179
```

The following is a DFT calculation (PBE-GGA) of a relaxed structure of TaCr3Cu.

Calculated values
Calculated total energy   -37.78 eV per formula unit
Energy relative to the elements   7.04 eV per formula unit

Geometry as extended XYZ:
```
5
Lattice="4.404 0.000 0.000 0.000 4.404 0.000 0.000 0.000 4.404" Properties=species:S:1:pos:R:3 pbc="T T T"
Cr 2.202 0.000 0.000
Ta 2.202 2.202 2.202
Cu 0.000 0.000 0.000
Cr 0.000 2.202 0.000
Cr 0.000 0.000 2.202
```

The following is a DFT calculation (PBE-GGA) of a relaxed structure of TaCr2Cu.

Calculated values
Calculated total energy   -33.59 eV per formula unit
Energy relative to the elements   1.60 eV per formula unit

Geometry as extended XYZ:
```
4
Lattice="8.536 0.012 0.007 8.077 2.762 0.007 8.077 1.349 2.410" Properties=species:S:1:pos:R:3 pbc="T T T"
Ta 18.491 3.087 1.816
Cr 6.344 1.059 0.623
Cr 24.376 4.070 2.394
Cu 12.514 2.089 1.229
```

The following is a DFT calculation (PBE-GGA) of a relaxed structure of TaCrCu.

Calculated values
Calculated total energy   -23.20 eV per formula unit
Energy relative to the elements   2.37 eV per formula unit

Geometry as extended XYZ:
```
3
Lattice="-1.146 3.488 -1.855 -3.486 0.120 -2.182 -3.237 2.112 1.410" Properties=species:S:1:pos:R:3 pbc="T T T"
Cr -3.935 2.860 -1.314
Cu -5.902 4.290 -1.970
Ta 0.000 0.000 0.000
```